# RePtW2 (PBE, optimized geometry)
# ΔE to the lowest computed polymorph: 835 meV/atom
# E_tot: -165.74 eV/cell
# ΔE_f: 0.74 eV/atom
data_RePtW2
_chemical_formula_sum 'Re4 Pt4 W8'
_space_group_name_H-M_alt 'I -4 2 d'
_space_group_IT_number 122
_space_group_name_Hall 'I -4 2bw'
_cell_length_a 7.128
_cell_length_b 7.128
_cell_length_c 5.457
_cell_angle_alpha 90.00
_cell_angle_beta 90.00
_cell_angle_gamma 90.00
loop_
_atom_site_label
_atom_site_fract_x
_atom_site_fract_y
_atom_site_fract_z
_atom_site_occupancy
Re1 0.000 0.000 0.000 1
Pt1 0.000 0.000 0.500 1
W1 0.235 0.250 0.125 1